VASP calculation (PBE+U) on an optimized crystal structure of BiMo2F.

Lattice parameters (Å, degrees): 7.0234 7.0234 7.0234 90.00 90.00 90.00
Fractional positions:
Bi: 0.0000 0.0000 0.0000
Bi: 0.0000 0.5000 0.5000
Bi: 0.5000 0.0000 0.5000
Bi: 0.5000 0.5000 0.0000
Mo: 0.2500 0.2500 0.2500
Mo: 0.2500 0.2500 0.7500
Mo: 0.2500 0.7500 0.2500
Mo: 0.2500 0.7500 0.7500
Mo: 0.7500 0.2500 0.2500
Mo: 0.7500 0.2500 0.7500
Mo: 0.7500 0.7500 0.2500
Mo: 0.7500 0.7500 0.7500
F: 0.0000 0.0000 0.5000
F: 0.0000 0.5000 0.0000
F: 0.5000 0.0000 0.0000
F: 0.5000 0.5000 0.5000

Properties
Total DFT energy (no corrections), eV/f.u.: -18.86
Polymorph energy (0 for the lowest one), meV per atom: 0
Calculated volume, Å³ per atom: 21.65